Entry 1:
Below is a relaxed structure of TlGaP2, with properties calculated at the GGA-PBE level.

Lattice parameters (Å, degrees): 4.8221 4.8221 4.8221 60.00 60.00 60.00
With the nearest neighbours (Å) after each atom.
Fractional positions:
Tl1 0.0000 0.0000 0.0000  8 P 2.95
Ga1 0.5000 0.5000 0.5000  8 P 2.95
P1 0.2500 0.2500 0.2500  4 Tl 2.95, 4 Ga 2.95
P2 0.7500 0.7500 0.7500  4 Tl 2.95, 4 Ga 2.95

polymorph energy (0 for the lowest one) = 0.631 eV per atom
E = -14.0 eV for the cell shown
M_tot = 0.00 μB per atom
volume = 19.82 Å³/atom

***

Entry 2:
Below is a relaxed structure of Li2CrCu, with properties calculated at the GGA-PBE level.

Lattice parameters (Å, degrees): 5.5922 5.5922 5.5922 102.44 102.44 124.70
With the nearest neighbours (Å) after each atom.
Fractional positions:
Li1 0.0934 0.6250 0.9684  2 Cu 2.41, 2 Li 2.63
Li2 0.3750 0.3434 0.4684  2 Cu 2.41, 2 Li 2.63
Li3 0.6566 0.1250 0.0316  2 Cu 2.41, 2 Li 2.63
Li4 0.8750 0.9066 0.5316  2 Cu 2.41, 2 Li 2.63
Cr1 0.2500 0.7500 0.5000  2 Cu 2.60, 4 Li 2.72
Cr2 0.5000 0.5000 0.0000  2 Cu 2.60, 4 Li 2.72
Cu1 0.0000 0.0000 0.0000  4 Li 2.41, 2 Cr 2.60
Cu2 0.7500 0.2500 0.5000  4 Li 2.41, 2 Cr 2.60

polymorph energy (0 for the lowest one) = 0.234 eV per atom
E = -31.1 eV for the cell shown
M_tot = 1.14 μB per atom
volume = 15.92 Å³/atom

***

Entry 3:
Below is a relaxed structure of MnNi5Ge3, with properties calculated at the GGA-PBE level.

Lattice parameters (Å, degrees): 7.0160 7.0160 5.1339 90.00 90.00 120.00
With the nearest neighbours (Å) after each atom.
Fractional positions:
Mn1 0.0000 0.0000 0.0000  2 Mn 2.57, 6 Ni 2.64, 6 Ge 2.71
Mn2 0.0000 0.0000 0.5000  2 Mn 2.57, 6 Ni 2.64, 6 Ge 2.71
Ni1 0.0000 0.3292 0.2500  5 Ge 2.32-2.57
Ni2 0.0000 0.6708 0.7500  5 Ge 2.32-2.57
Ni3 0.3292 0.0000 0.2500  5 Ge 2.32-2.57
Ni4 0.3292 0.3292 0.7500  5 Ge 2.32-2.57
Ni5 0.3333 0.6667 0.0000  8 Ni 2.57-2.68, 6 Ge 2.65
Ni6 0.3333 0.6667 0.5000  8 Ni 2.57-2.68, 6 Ge 2.65
Ni7 0.6667 0.3333 0.0000  8 Ni 2.57-2.68, 6 Ge 2.65
Ni8 0.6667 0.3333 0.5000  8 Ni 2.57-2.68, 6 Ge 2.65
Ni9 0.6708 0.0000 0.7500  5 Ge 2.32-2.57
Ni10 0.6708 0.6708 0.2500  5 Ge 2.32-2.57
Ge1 0.0000 0.3401 0.7500  5 Ni 2.32-2.57
Ge2 0.0000 0.6599 0.2500  5 Ni 2.32-2.57
Ge3 0.3401 0.0000 0.7500  5 Ni 2.32-2.57
Ge4 0.3401 0.3401 0.2500  5 Ni 2.32-2.57
Ge5 0.6599 0.0000 0.2500  5 Ni 2.32-2.57
Ge6 0.6599 0.6599 0.7500  5 Ni 2.32-2.57

polymorph energy (0 for the lowest one) = 0.000 eV per atom
E = -108.4 eV for the cell shown
M_tot = 0.30 μB per atom
volume = 12.16 Å³/atom